(1)
# GGA-PBE Th2CoPdPt, relaxed
# DFT formation energy, eV/atom: -0.7517
# Magnetic moment, Bohr magnetons per cell: 1.004
data_Th2CoPdPt
_chemical_formula_sum 'Th4 Co2 Pd2 Pt2'
_cell_length_a 7.801
_cell_length_b 4.054
_cell_length_c 7.805
_cell_angle_alpha 90.00
_cell_angle_beta 117.65
_cell_angle_gamma 90.00
_symmetry_space_group_name_H-M 'P 1 21/m 1'
_symmetry_Int_Tables_number 11
_symmetry_space_group_name_Hall '-P 2yb'
loop_
_atom_site_label
_atom_site_type_symbol
_atom_site_fract_x
_atom_site_fract_y
_atom_site_fract_z
Th1 Th 0.108 0.250 0.352
Th2 Th 0.352 0.750 0.108
Co1 Co 0.043 0.250 0.957
Pd1 Pd 0.419 0.750 0.582
Pt1 Pt 0.234 0.250 0.766

***

(2)
# GGA-PBE CaAsSe3, relaxed
# Magnetic moment, Bohr magnetons per cell: 0.000
# Formation energy (no corrections), meV/atom: 415
data_CaAsSe3
_chemical_formula_sum 'Ca1 As1 Se3'
_cell_length_a 5.382
_cell_length_b 5.382
_cell_length_c 5.382
_cell_angle_alpha 90.00
_cell_angle_beta 90.00
_cell_angle_gamma 90.00
_symmetry_space_group_name_H-M 'P m -3 m'
_symmetry_Int_Tables_number 221
_symmetry_space_group_name_Hall '-P 4 2 3'
loop_
_atom_site_label
_atom_site_type_symbol
_atom_site_fract_x
_atom_site_fract_y
_atom_site_fract_z
Ca1 Ca 0.000 0.000 0.000
As1 As 0.500 0.500 0.500
Se1 Se 0.000 0.000 0.500

***

(3)
# GGA-PBE V6Cr2Fe, relaxed
# DFT formation energy, eV/atom: 0.2074
# Magnetic moment, Bohr magnetons per cell: 0.000
data_V6Cr2Fe
_chemical_formula_sum 'V24 Cr8 Fe4'
_cell_length_a 7.721
_cell_length_b 7.769
_cell_length_c 7.892
_cell_angle_alpha 90.00
_cell_angle_beta 90.00
_cell_angle_gamma 90.00
_symmetry_space_group_name_H-M 'I m m m'
_symmetry_Int_Tables_number 71
_symmetry_space_group_name_Hall '-I 2 2'
loop_
_atom_site_label
_atom_site_type_symbol
_atom_site_fract_x
_atom_site_fract_y
_atom_site_fract_z
V1 V 0.000 0.191 0.213
V2 V 0.181 0.500 0.259
V3 V 0.245 0.193 0.500
Cr1 Cr 0.000 0.354 0.500
Cr2 Cr 0.164 0.000 0.000
Fe1 Fe 0.000 0.000 0.500
Fe2 Fe 0.000 0.500 0.000

***

(4)
# GGA-PBE La4MgSn2, relaxed
# DFT formation energy, eV/atom: -0.4078
# Magnetic moment, Bohr magnetons per cell: 0.000
# ΔE to the lowest computed polymorph, eV per atom: 0.052
data_La4MgSn2
_chemical_formula_sum 'La8 Mg2 Sn4'
_cell_length_a 6.283
_cell_length_b 6.826
_cell_length_c 10.919
_cell_angle_alpha 90.00
_cell_angle_beta 106.13
_cell_angle_gamma 90.00
_symmetry_space_group_name_H-M 'P 1 21/m 1'
_symmetry_Int_Tables_number 11
_symmetry_space_group_name_Hall '-P 2yb'
loop_
_atom_site_label
_atom_site_type_symbol
_atom_site_fract_x
_atom_site_fract_y
_atom_site_fract_z
La1 La 0.200 0.250 0.120
La2 La 0.282 0.750 0.474
La3 La 0.288 0.020 0.739
Mg1 Mg 0.126 0.750 0.178
Sn1 Sn 0.174 0.250 0.427
Sn2 Sn 0.363 0.750 0.000

***

(5)
# GGA-PBE Pm12Sm7Tl, relaxed
# DFT formation energy, eV/atom: 0.1702
# Magnetic moment, Bohr magnetons per cell: 0.006
data_Pm12Sm7Tl
_chemical_formula_sum 'Pm36 Sm21 Tl3'
_cell_length_a 12.4854
_cell_length_b 12.4854
_cell_length_c 15.6413
_cell_angle_alpha 90.00
_cell_angle_beta 90.00
_cell_angle_gamma 120.00
_symmetry_space_group_name_H-M 'R -3'
_symmetry_Int_Tables_number 148
_symmetry_space_group_name_Hall '-R 3'
loop_
_atom_site_label
_atom_site_type_symbol
_atom_site_fract_x
_atom_site_fract_y
_atom_site_fract_z
Pm1 Pm 0.0323 0.8456 0.3091
Pm2 Pm 0.0715 0.2608 0.9243
Sm1 Sm 0.0000 0.0000 0.5000
Sm2 Sm 0.0158 0.5774 0.1994
Tl1 Tl 0.0000 0.0000 0.0000

***

(6)
# GGA-PBE Ac2La3Ho3, relaxed
# DFT formation energy, eV/atom: 0.1150
# Magnetic moment, Bohr magnetons per cell: 0.000
data_Ac2La3Ho3
_chemical_formula_sum 'Ac8 La12 Ho12'
_cell_length_a 3.682
_cell_length_b 22.367
_cell_length_c 14.479
_cell_angle_alpha 90.00
_cell_angle_beta 90.00
_cell_angle_gamma 90.00
_symmetry_space_group_name_H-M 'C m c m'
_symmetry_Int_Tables_number 63
_symmetry_space_group_name_Hall '-C 2c 2'
loop_
_atom_site_label
_atom_site_type_symbol
_atom_site_fract_x
_atom_site_fract_y
_atom_site_fract_z
Ac1 Ac 0.000 0.240 0.122
La1 La 0.000 0.386 0.001
La2 La 0.000 0.390 0.250
Ho1 Ho 0.000 0.004 0.127
Ho2 Ho 0.000 0.386 0.750